11
Lattice="5.7415 0.0000 0.0000 2.8707 4.9723 0.0000 2.8707 1.6574 5.3222" Properties=species:S:1:pos:R:3 comment="LiPr2Co2O6 GGA+U relaxed" dft_energy_ev_per_cell=-71.06 pbc="T T T"
Li 0.0000 0.0000 0.0000
Pr 8.6122 4.9723 3.2660
Pr 2.8707 1.6574 2.0562
Co 5.7415 3.3149 4.0530
Co 5.7415 3.3149 1.2692
O 7.2809 4.2036 1.4808
O 4.2021 4.2036 1.4808
O 5.7415 1.5373 1.4808
O 5.7415 5.0924 3.8414
O 7.2809 2.4261 3.8414
O 4.2021 2.4261 3.8414